Density functional theory data (GGA+U) for crystalline Cs2NiF at its relaxed geometry.

a b c (Å): 8.341 8.341 10.295
angles (deg): 90.00 90.00 90.00
Space group I-42d (No. 122)
One atom of each set of equivalent atoms:
Cs  0.170  0.250  0.125
Ni  0.000  0.000  0.500
F  0.000  0.000  0.000

Summary:
magnetization = 1.00 μB/f.u.
density of states at the Fermi level = 0.0000 states/eV/atom
energy = -2.400 eV per atom
energy relative to the lowest polymorph listed for this composition = 0.000 eV/atom